{
  "formula": "Na2PaF6",
  "functional": "GGA-PBE",
  "state": "relaxed",
  "vol_a3_per_atom": 14.78,
  "final_energy_ev_per_atom": -5.9521,
  "magnetic_moment_mub_per_cell": 2.00,
  "lattice": [[5.069, 0.000, 0.000], [0.000, 5.069, 0.000], [0.000, 0.000, 10.351]],
  "species": ["Na", "Na", "Na", "Na", "Pa", "Pa", "F", "F", "F", "F", "F", "F", "F", "F", "F", "F", "F", "F"],
  "frac_coords": [[0.000, 0.000, 0.167], [0.000, 0.000, 0.833], [0.500, 0.500, 0.333], [0.500, 0.500, 0.667], [0.000, 0.000, 0.500], [0.500, 0.500, 0.000], [0.195, 0.195, 0.000], [0.197, 0.197, 0.338], [0.197, 0.197, 0.662], [0.303, 0.697, 0.162], [0.303, 0.697, 0.838], [0.305, 0.695, 0.500], [0.695, 0.305, 0.500], [0.697, 0.303, 0.162], [0.697, 0.303, 0.838], [0.803, 0.803, 0.338], [0.803, 0.803, 0.662], [0.805, 0.805, 0.000]]
}